Entry 1:
Entry from Alexandria via LeMat-Bulk: a relaxed structure of SnB2AsI (PBE).

## Properties
Mass density   4556 kg/m3
Formation energy without anion corrections   1742 meV per atom

Structure (CIF):
```
data_SnB2AsI
_cell_length_a 4.463
_cell_length_b 4.463
_cell_length_c 6.261
_cell_angle_alpha 90.00
_cell_angle_beta 90.00
_cell_angle_gamma 90.00
_symmetry_space_group_name_H-M 'P 4/m m m'
_symmetry_Int_Tables_number 123
_symmetry_space_group_name_Hall '-P 4 2'
loop_
_atom_site_label
_atom_site_fract_x
_atom_site_fract_y
_atom_site_fract_z
Sn1 0.000 0.000 0.000
B1 0.000 0.500 0.000
As1 0.500 0.500 0.500
I1 0.000 0.000 0.500
```

Entry 2:
Entry from Alexandria via LeMat-Bulk: a relaxed structure of UMnNiP2 (PBE).

## Properties
Mass density   9798 kg/m3
Energy relative to the elements   -3.6 eV/f.u.

Structure (CIF):
```
data_UMnNiP2
_cell_length_a 3.747
_cell_length_b 3.747
_cell_length_c 9.987
_cell_angle_alpha 90.00
_cell_angle_beta 90.00
_cell_angle_gamma 90.00
_symmetry_space_group_name_H-M 'I -4 m 2'
_symmetry_Int_Tables_number 119
_symmetry_space_group_name_Hall 'I -4 -2'
loop_
_atom_site_label
_atom_site_fract_x
_atom_site_fract_y
_atom_site_fract_z
U1 0.000 0.000 0.000
Mn1 0.000 0.500 0.250
Ni1 0.000 0.500 0.750
P1 0.000 0.000 0.377
```

Entry 3:
Entry from Alexandria via LeMat-Bulk: a relaxed structure of Ta2MnSn2Se6 (PBE).

## Properties
Mass density   6738 kg/m3
Formation energy without anion corrections   -473 meV per atom

Structure (CIF):
```
data_Ta2MnSn2Se6
_cell_length_a 6.253
_cell_length_b 11.104
_cell_length_c 8.323
_cell_angle_alpha 90.00
_cell_angle_beta 105.85
_cell_angle_gamma 90.00
_symmetry_space_group_name_H-M 'C 1 2/m 1'
_symmetry_Int_Tables_number 12
_symmetry_space_group_name_Hall '-C 2y'
loop_
_atom_site_label
_atom_site_fract_x
_atom_site_fract_y
_atom_site_fract_z
Ta1 0.000 0.134 0.000
Mn1 0.000 0.500 0.000
Sn1 0.000 0.213 0.500
Se1 0.097 0.326 0.821
Se2 0.100 0.000 0.779
```

Entry 4:
Entry from Alexandria via LeMat-Bulk: a relaxed structure of InCoSn2Ge (PBE).

## Properties
Mass density   6893 kg/m3
Energy relative to the elements   0.5 eV/f.u.

Structure (CIF):
```
data_InCoSn2Ge
_cell_length_a 5.089
_cell_length_b 5.089
_cell_length_c 4.500
_cell_angle_alpha 90.00
_cell_angle_beta 90.00
_cell_angle_gamma 90.00
_symmetry_space_group_name_H-M 'P 4/m m m'
_symmetry_Int_Tables_number 123
_symmetry_space_group_name_Hall '-P 4 2'
loop_
_atom_site_label
_atom_site_fract_x
_atom_site_fract_y
_atom_site_fract_z
In1 0.000 0.000 0.000
Co1 0.500 0.500 0.500
Sn1 0.000 0.500 0.500
Ge1 0.500 0.500 0.000
```

Question: mass density of number 1 (SnB2AsI)?
Answer: 4556 kg/m3

What did the third record say?
Entry from Alexandria via LeMat-Bulk: a relaxed structure of Ta2MnSn2Se6 (PBE).

## Properties
Mass density   6738 kg/m3
Formation energy without anion corrections   -473 meV per atom

Structure (CIF):
```
data_Ta2MnSn2Se6
_cell_length_a 6.253
_cell_length_b 11.104
_cell_length_c 8.323
_cell_angle_alpha 90.00
_cell_angle_beta 105.85
_cell_angle_gamma 90.00
_symmetry_space_group_name_H-M 'C 1 2/m 1'
_symmetry_Int_Tables_number 12
_symmetry_space_group_name_Hall '-C 2y'
loop_
_atom_site_label
_atom_site_fract_x
_atom_site_fract_y
_atom_site_fract_z
Ta1 0.000 0.134 0.000
Mn1 0.000 0.500 0.000
Sn1 0.000 0.213 0.500
Se1 0.097 0.326 0.821
Se2 0.100 0.000 0.779
```

Question: Look up the mass density of the first one.
Answer: 4556 kg/m3